{"formula": "VCo3H", "functional": "PBE-GGA", "state": "relaxed", "cell": [[-1.908, 2.853, -1.108], [-3.022, -1.606, 1.138], [0.436, 1.523, 3.240]], "species": ["V", "Co", "Co", "H", "Co"], "fractional_positions": [[0.246, 0.246, 0.246], [0.719, 0.719, 0.247], [0.247, 0.719, 0.719], [0.945, 0.945, 0.945], [0.719, 0.247, 0.719]], "final_energy_ev_per_atom": -6.833, "spacegroup": "R3m", "total_magnetization_mub_per_cell": 0.9, "e_above_lowest_polymorph_kj_per_mol_fu": 36}



{"formula": "Pr5Sm5Er", "functional": "PBE-GGA", "state": "relaxed", "cell": [[-3.705, 4.891, 0.024], [0.150, -3.781, 9.321], [5.587, 4.237, -0.995]], "species": ["Pr", "Pr", "Sm", "Pr", "Sm", "Sm", "Er", "Pr", "Sm", "Sm", "Pr"], "fractional_positions": [[0.826, 0.652, 0.070], [0.826, 0.651, 0.582], [0.376, 0.752, 0.372], [0.500, 0.000, 0.000], [0.624, 0.248, 0.628], [0.331, 0.661, 0.827], [0.000, 0.000, 0.000], [0.174, 0.349, 0.418], [0.669, 0.339, 0.173], [0.000, 0.000, 0.500], [0.174, 0.348, 0.930]], "formation_energy_kj_per_mol_fu": 254, "final_energy_ev_per_atom": -4.493, "spacegroup": "C2/m", "total_magnetization_mub_per_cell": 0.0}



{"formula": "Hf2Mg2Ti", "functional": "PBE-GGA", "state": "relaxed", "cell": [[-2.386, -1.879, -0.068], [1.866, -2.353, -0.457], [1.137, 0.591, 11.693]], "species": ["Hf", "Hf", "Mg", "Ti", "Mg"], "fractional_positions": [[0.589, 0.589, 0.179], [0.411, 0.411, 0.821], [0.197, 0.197, 0.394], [0.000, 0.000, 0.000], [0.803, 0.803, 0.606]], "formation_energy_kj_per_mol_fu": 9, "final_energy_ev_per_atom": -6.179, "spacegroup": "I4/mmm", "total_magnetization_mub_per_cell": 0.0}



{"formula": "HfAl2GePt", "functional": "PBE-GGA", "state": "relaxed", "cell": [[5.232, 0.000, 0.000], [0.000, 4.888, 0.000], [0.000, 0.000, 5.232]], "species": ["Pt", "Ge", "Al", "Al", "Hf"], "fractional_positions": [[0.000, 0.500, 0.000], [0.500, 0.500, 0.500], [0.000, 0.000, 0.500], [0.500, 0.000, 0.000], [0.000, 0.000, 0.000]], "formation_energy_kj_per_mol_fu": 431, "final_energy_ev_per_atom": -4.727, "spacegroup": "P4/mmm", "total_magnetization_mub_per_cell": 0.0}



{"formula": "Rb2Hg3OsO6", "functional": "PBE-GGA", "state": "relaxed", "cell": [[6.889, -0.240, 0.039], [-3.650, 5.847, 0.039], [-1.039, -1.799, 5.820]], "species": ["O", "O", "Rb", "Hg", "Rb", "Hg", "O", "Hg", "O", "O", "Os", "O"], "fractional_positions": [[0.941, 0.720, 0.795], [0.059, 0.280, 0.205], [0.674, 0.326, 0.000], [0.131, 0.869, 0.500], [0.326, 0.674, 0.000], [0.869, 0.131, 0.500], [0.198, 0.198, 0.830], [0.500, 0.500, 0.500], [0.802, 0.802, 0.170], [0.720, 0.941, 0.795], [0.000, 0.000, 0.000], [0.280, 0.059, 0.205]], "formation_energy_uncorrected_mev_per_atom": -791, "final_energy_ev_per_atom": -4.442, "spacegroup": "C2/m", "total_magnetization_mub_per_cell": 0.0}



{"formula": "YPd4", "functional": "PBE-GGA", "state": "relaxed", "cell": [[-4.817, -1.067, -0.417], [-0.332, -0.424, 4.922], [-1.096, 4.816, 0.341]], "species": ["Pd", "Pd", "Pd", "Y", "Pd"], "fractional_positions": [[0.500, 0.500, 0.000], [0.000, 0.000, 0.000], [0.000, 0.500, 0.500], [0.500, 0.500, 0.500], [0.500, 0.000, 0.500]], "formation_energy_kj_per_mol_fu": 357, "final_energy_ev_per_atom": -4.707, "spacegroup": "Pm-3m", "total_magnetization_mub_per_cell": 0.0}



{"formula": "RbMg3I", "functional": "PBE-GGA", "state": "relaxed", "cell": [[7.075, 0.000, 0.000], [0.000, 7.075, 0.000], [0.000, 0.000, 7.075]], "species": ["Mg", "Rb", "I", "Mg", "Mg"], "fractional_positions": [[0.500, 0.000, 0.000], [0.000, 0.000, 0.000], [0.500, 0.500, 0.500], [0.000, 0.000, 0.500], [0.000, 0.500, 0.000]], "formation_energy_uncorrected_mev_per_atom": 602, "final_energy_ev_per_atom": -0.858, "spacegroup": "Pm-3m", "total_magnetization_mub_per_cell": 0.0, "e_above_lowest_polymorph_kj_per_mol_fu": 111}



{"formula": "Ac5In2Ag", "functional": "PBE-GGA", "state": "relaxed", "cell": [[7.623, 0.000, -3.599], [-1.699, 7.432, -3.599], [0.218, 0.273, 10.336]], "species": ["Ag", "Ac", "Ac", "Ac", "Ac", "In", "Ac", "Ac", "In", "In", "Ac", "Ac", "In", "Ac", "Ac", "Ag"], "fractional_positions": [[0.250, 0.250, 0.500], [0.479, 0.322, 0.301], [0.178, 0.021, 0.699], [0.021, 0.521, 0.699], [0.822, 0.979, 0.301], [0.379, 0.879, 0.000], [0.678, 0.178, 0.699], [0.322, 0.822, 0.301], [0.121, 0.379, 0.000], [0.879, 0.621, 0.000], [0.500, 0.500, 0.000], [0.521, 0.678, 0.699], [0.621, 0.121, 0.000], [0.979, 0.479, 0.301], [0.000, 0.000, 0.000], [0.750, 0.750, 0.500]], "formation_energy_kj_per_mol_fu": -185, "final_energy_ev_per_atom": -3.849, "spacegroup": "I4/mcm", "total_magnetization_mub_per_cell": 0.0}



{"formula": "Sr2CuSbO6", "functional": "PBE-GGA", "state": "relaxed", "cell": [[0.000, 3.991, 3.991], [3.991, 0.000, 3.991], [3.991, 3.991, 0.000]], "species": ["O", "O", "O", "Sr", "O", "Sb", "O", "O", "Sr", "Cu"], "fractional_positions": [[0.750, 0.250, 0.750], [0.250, 0.750, 0.250], [0.250, 0.750, 0.750], [0.250, 0.250, 0.250], [0.250, 0.250, 0.750], [0.500, 0.500, 0.500], [0.750, 0.750, 0.250], [0.750, 0.250, 0.250], [0.750, 0.750, 0.750], [0.000, 0.000, 0.000]], "formation_energy_uncorrected_mev_per_atom": -1790, "final_energy_ev_per_atom": -5.923, "spacegroup": "Fm-3m", "total_magnetization_mub_per_cell": 0.3, "e_above_lowest_polymorph_kj_per_mol_fu": 0}



{"formula": "Be2HgAs", "functional": "PBE-GGA", "state": "relaxed", "cell": [[4.900, 0.010, -0.023], [1.469, 4.675, -0.023], [0.874, 0.643, 2.792]], "species": ["Be", "Hg", "As", "Be"], "fractional_positions": [[0.500, 0.500, 0.000], [0.500, 0.000, 0.500], [0.000, 0.500, 0.500], [0.000, 0.000, 0.000]], "formation_energy_kj_per_mol_fu": 205, "final_energy_ev_per_atom": -2.569, "spacegroup": "C2/m", "total_magnetization_mub_per_cell": 0.0}



{"formula": "NaSe2Cl", "functional": "PBE-GGA", "state": "relaxed", "cell": [[-2.188, -7.871, 4.227], [1.426, -7.971, 4.363], [-0.428, -6.117, 6.856]], "species": ["Se", "Na", "Se", "Cl"], "fractional_positions": [[0.911, 0.911, 0.911], [0.500, 0.500, 0.500], [0.089, 0.089, 0.089], [0.000, 0.000, 0.000]], "formation_energy_uncorrected_mev_per_atom": -16, "final_energy_ev_per_atom": -2.550, "spacegroup": "R-3m", "total_magnetization_mub_per_cell": 0.0, "e_above_lowest_polymorph_kj_per_mol_fu": 0}



{"formula": "HfPbC2", "functional": "PBE-GGA", "state": "relaxed", "cell": [[5.210, 0.000, 0.000], [0.000, 5.210, 0.000], [2.605, 2.605, 5.195]], "species": ["Pb", "Hf", "C", "C", "C", "C", "Hf", "Pb"], "fractional_positions": [[0.000, 0.000, 0.000], [0.500, 0.500, 0.000], [0.375, 0.399, 0.750], [0.149, 0.625, 0.250], [0.875, 0.851, 0.750], [0.601, 0.125, 0.250], [0.250, 0.750, 0.500], [0.750, 0.250, 0.500]], "formation_energy_kj_per_mol_fu": 254, "final_energy_ev_per_atom": -7.369, "spacegroup": "I-42d", "total_magnetization_mub_per_cell": 0.0}



{"formula": "Rb5SiHO5", "functional": "PBE-GGA", "state": "relaxed", "cell": [[-3.639, 2.994, 4.716], [-3.513, -0.920, -5.592], [-6.889, -9.408, 3.487]], "species": ["O", "Rb", "Rb", "Si", "Rb", "H", "O", "Rb", "Rb", "O", "O", "O", "Rb", "O", "O", "Si", "O", "Rb", "H", "Rb", "O", "Rb", "Rb", "O"], "fractional_positions": [[0.979, 0.979, 0.173], [0.694, 0.306, 0.500], [0.616, 0.094, 0.802], [0.170, 0.170, 0.695], [0.906, 0.384, 0.198], [0.782, 0.218, 0.000], [0.747, 0.993, 0.375], [0.094, 0.616, 0.802], [0.786, 0.786, 0.602], [0.307, 0.693, 0.000], [0.610, 0.610, 0.300], [0.021, 0.021, 0.827], [0.732, 0.732, 0.032], [0.993, 0.747, 0.375], [0.007, 0.253, 0.625], [0.830, 0.830, 0.305], [0.390, 0.390, 0.700], [0.214, 0.214, 0.398], [0.218, 0.782, 0.000], [0.268, 0.268, 0.968], [0.253, 0.007, 0.625], [0.384, 0.906, 0.198], [0.306, 0.694, 0.500], [0.693, 0.307, 0.000]], "final_energy_ev_per_atom": -4.988, "spacegroup": "C2/m", "total_magnetization_mub_per_cell": 0.2}



{"formula": "NbCrW", "functional": "PBE-GGA", "state": "relaxed", "cell": [[5.396, 0.000, -0.003], [0.000, 4.475, 0.000], [-5.293, 0.000, 7.680]], "species": ["W", "Nb", "W", "Nb", "Cr", "Nb", "Cr", "Cr", "Cr", "Nb", "W", "W"], "fractional_positions": [[0.500, 0.500, 0.500], [0.330, 0.000, 0.662], [0.000, 0.000, 0.000], [0.670, 0.500, 0.838], [0.161, 0.000, 0.329], [0.670, 0.000, 0.338], [0.839, 0.500, 0.171], [0.161, 0.500, 0.829], [0.839, 0.000, 0.671], [0.330, 0.500, 0.162], [0.000, 0.500, 0.500], [0.500, 0.000, 0.000]], "formation_energy_kj_per_mol_fu": 21, "final_energy_ev_per_atom": -10.811, "spacegroup": "C2/m", "total_magnetization_mub_per_cell": 0.0, "e_above_lowest_polymorph_kj_per_mol_fu": 14}



{"formula": "BaCaBr", "functional": "PBE-GGA", "state": "relaxed", "cell": [[-2.531, -2.256, 2.477], [3.847, -1.412, -0.914], [2.918, 3.787, 6.429]], "species": ["Ba", "Br", "Ca"], "fractional_positions": [[0.000, 0.000, 0.035], [0.667, 0.333, 0.350], [0.333, 0.667, 0.615]], "formation_energy_uncorrected_mev_per_atom": -923, "final_energy_ev_per_atom": -2.788, "spacegroup": "P3m1", "total_magnetization_mub_per_cell": 0.7, "e_above_lowest_polymorph_kj_per_mol_fu": 0}



{"formula": "CaPrSn2", "functional": "PBE-GGA", "state": "relaxed", "cell": [[3.731, 0.000, 0.000], [1.866, 3.231, 0.000], [1.866, 1.077, 10.141]], "species": ["Ca", "Sn", "Sn", "Pr"], "fractional_positions": [[0.000, 0.000, 0.000], [0.252, 0.252, 0.245], [0.748, 0.748, 0.755], [0.500, 0.500, 0.500]], "formation_energy_kj_per_mol_fu": -183, "final_energy_ev_per_atom": -4.172, "spacegroup": "R-3m", "total_magnetization_mub_per_cell": 0.0}



{"formula": "Be2SbTe", "functional": "PBE-GGA", "state": "relaxed", "cell": [[4.648, 0.000, 0.000], [0.000, 4.648, 0.000], [0.000, 0.000, 3.451]], "species": ["Te", "Be", "Sb", "Be"], "fractional_positions": [[0.000, 0.500, 0.500], [0.500, 0.500, 0.000], [0.500, 0.000, 0.500], [0.000, 0.000, 0.000]], "formation_energy_uncorrected_mev_per_atom": 743, "final_energy_ev_per_atom": -2.936, "spacegroup": "P4/mmm", "total_magnetization_mub_per_cell": 0.0, "e_above_lowest_polymorph_kj_per_mol_fu": 278}



{"formula": "SmZnGa2Pt", "functional": "PBE-GGA", "state": "relaxed", "cell": [[-4.091, 1.086, 0.080], [-0.155, -0.891, 4.136], [3.469, 4.888, -0.983]], "species": ["Pt", "Zn", "Sm", "Ga", "Ga"], "fractional_positions": [[0.250, 0.750, 0.500], [0.750, 0.250, 0.500], [0.000, 0.000, 0.000], [0.617, 0.617, 0.234], [0.383, 0.383, 0.766]], "formation_energy_kj_per_mol_fu": -334, "final_energy_ev_per_atom": -4.311, "spacegroup": "I-4m2", "total_magnetization_mub_per_cell": 0.0}



{"formula": "Tm8Zr", "functional": "PBE-GGA", "state": "relaxed", "cell": [[4.849, 0.000, 0.000], [2.424, 7.344, 0.000], [2.424, 0.000, 7.344]], "species": ["Tm", "Tm", "Tm", "Tm", "Tm", "Tm", "Zr", "Tm", "Tm"], "fractional_positions": [[0.000, 0.673, 0.327], [0.000, 0.327, 0.673], [0.661, 0.678, 0.000], [0.327, 0.673, 0.673], [0.661, 0.000, 0.678], [0.339, 0.000, 0.322], [0.000, 0.000, 0.000], [0.339, 0.322, 0.000], [0.673, 0.327, 0.327]], "formation_energy_kj_per_mol_fu": 37, "final_energy_ev_per_atom": -4.882, "spacegroup": "I4/mmm", "total_magnetization_mub_per_cell": 0.0, "e_above_lowest_polymorph_kj_per_mol_fu": 0}



{"formula": "SrLaPr2", "functional": "PBE-GGA", "state": "relaxed", "cell": [[3.797, 0.000, 0.000], [0.000, 3.797, 0.000], [0.000, 0.000, 11.023]], "species": ["Pr", "La", "Sr", "Pr"], "fractional_positions": [[0.000, 0.000, 0.773], [0.500, 0.500, 0.000], [0.500, 0.500, 0.500], [0.000, 0.000, 0.227]], "formation_energy_kj_per_mol_fu": 28, "final_energy_ev_per_atom": -3.970, "spacegroup": "P4/mmm", "total_magnetization_mub_per_cell": 0.0, "e_above_lowest_polymorph_kj_per_mol_fu": 0}